A relaxed Cr3SnPt crystal. Source: Alexandria, functional PBE-GGA.

a = 4.863 Å, b = 4.863 Å, c = 4.863 Å
α = 90.00°, β = 90.00°, γ = 90.00°
Space group Pm-3m (No. 221)
Inequivalent atoms, fractional coordinates:
Cr (0.000, 0.000, 0.500) [3 per cell]
Sn (0.500, 0.500, 0.500) [1 per cell]
Pt (0.000, 0.000, 0.000) [1 per cell]

Calculated values
- DOS at the Fermi energy (states/eV/f.u.) = 8.6
- ΔH_f (0 K) (meV per atom) = 956
- distance to the lowest polymorph of the same formula (eV/atom) = 0.000
- size of the total moment (μB/f.u.) = 11.50